No. 1
Entry from Alexandria: a geometry-optimized Tb2Fe4Si9 structure (PBE-GGA).

a b c (Å): 3.949 3.949 16.112
angles (deg): 90.00 90.00 120.00
Fractional positions:
Si 0.000 0.000 0.351
Tb 0.667 0.333 0.758
Tb 0.333 0.667 0.242
Si 0.333 0.667 0.434
Si 0.333 0.667 0.043
Fe 0.333 0.667 0.588
Si 0.667 0.333 0.566
Si 0.667 0.333 0.957
Si 0.000 0.000 0.649
Si 0.000 0.000 0.500
Fe 0.667 0.333 0.412
Si 0.000 0.000 0.126
Fe 0.333 0.667 0.899
Si 0.000 0.000 0.874
Fe 0.667 0.333 0.101

Calculated values
The value obtained for the final energy is -97.1 eV for the cell shown. As for the total magnetic moment: 0.00 Bohr magnetons per cell. The density of states at the Fermi level is 0.4380 states/eV/atom. For the formation energy without anion corrections, the calculation gives -344 meV per atom. Its space group is P-3m1.

No. 2
Entry from Alexandria: a geometry-optimized TbFeSi2 structure (PBE-GGA).

a b c (Å): 8.517 8.517 3.991
angles (deg): 90.00 90.00 152.86
Fractional positions:
Fe 0.751 0.249 0.750
Si 0.963 0.037 0.250
Si 0.186 0.814 0.750
Tb 0.392 0.608 0.750
Tb 0.608 0.392 0.250
Si 0.037 0.963 0.750
Fe 0.249 0.751 0.250
Si 0.814 0.186 0.250

Calculated values
The value obtained for the final energy is -53.3 eV for the cell shown. As for the total magnetic moment: 0.00 Bohr magnetons per cell. The density of states at the Fermi level is 0.7530 states/eV/atom. For the formation energy without anion corrections, the calculation gives -681 meV per atom. Its space group is Cmcm.

No. 3
Entry from Alexandria: a geometry-optimized Tb2Fe3Si5 structure (PBE-GGA).

a b c (Å): 10.374 10.374 5.499
angles (deg): 90.00 90.00 90.00
Fractional positions:
Si 0.677 0.177 0.250
Fe 0.855 0.123 0.500
Si 0.479 0.180 0.000
Si 0.820 0.479 0.000
Fe 0.500 0.000 0.750
Fe 0.145 0.877 0.500
Fe 0.123 0.145 0.500
Fe 0.877 0.855 0.500
Si 0.680 0.979 0.500
Si 0.000 0.000 0.271
Tb 0.236 0.069 0.000
Si 0.021 0.680 0.500
Tb 0.264 0.569 0.500
Fe 0.500 0.000 0.250
Tb 0.764 0.931 0.000
Si 0.180 0.521 0.000
Si 0.323 0.823 0.250
Tb 0.931 0.236 0.000
Fe 0.000 0.500 0.750
Si 0.177 0.323 0.750
Si 0.000 0.000 0.729
Si 0.500 0.500 0.771
Si 0.823 0.677 0.750
Si 0.979 0.320 0.500
Fe 0.623 0.355 0.000
Si 0.521 0.820 0.000
Fe 0.000 0.500 0.250
Tb 0.569 0.736 0.500
Si 0.323 0.823 0.750
Tb 0.069 0.764 0.000
Fe 0.355 0.377 0.000
Tb 0.431 0.264 0.500
Fe 0.645 0.623 0.000
Si 0.320 0.021 0.500
Tb 0.736 0.431 0.500
Fe 0.377 0.645 0.000
Si 0.677 0.177 0.750
Si 0.823 0.677 0.250
Si 0.177 0.323 0.250
Si 0.500 0.500 0.229

Calculated values
The value obtained for the final energy is -274.8 eV for the cell shown. As for the total magnetic moment: 0.00 Bohr magnetons per cell. The density of states at the Fermi level is 0.4985 states/eV/atom. For the formation energy without anion corrections, the calculation gives -694 meV per atom. Its space group is P4/mnc.

No. 4
Entry from Alexandria: a geometry-optimized TbFeSi2Tc structure (PBE-GGA).

a b c (Å): 4.005 4.005 5.837
angles (deg): 110.07 110.07 90.00
Fractional positions:
Si 0.378 0.378 0.756
Tc 0.250 0.750 0.500
Tb 0.000 0.000 0.000
Si 0.622 0.622 0.244
Fe 0.750 0.250 0.500

Calculated values
The value obtained for the final energy is -37.5 eV for the cell shown. As for the total magnetic moment: 1.92 Bohr magnetons per cell. The density of states at the Fermi level is 0.7835 states/eV/atom. For the formation energy without anion corrections, the calculation gives -638 meV per atom. Its space group is I-4m2.

No. 5
Entry from Alexandria: a geometry-optimized Fe2SiTc structure (PBE-GGA).

a b c (Å): 2.629 2.629 7.699
angles (deg): 90.00 90.00 106.90
Fractional positions:
Si 0.000 0.000 0.487
Fe 0.500 0.500 0.260
Fe 0.000 0.000 0.011
Tc 0.500 0.500 0.742

Calculated values
The value obtained for the final energy is -32.7 eV for the cell shown. As for the total magnetic moment: 4.83 Bohr magnetons per cell. The density of states at the Fermi level is 0.6659 states/eV/atom. For the formation energy without anion corrections, the calculation gives 4 meV per atom. Its space group is Cmm2.

No. 6
Entry from Alexandria: a geometry-optimized FeSiTc structure (PBE-GGA).

a b c (Å): 3.988 3.988 2.684
angles (deg): 90.00 90.00 120.00
Fractional positions:
Si 0.667 0.333 0.166
Fe 0.000 0.000 0.167
Tc 0.333 0.667 0.667

Calculated values
The value obtained for the final energy is -25.0 eV for the cell shown. As for the total magnetic moment: 0.00 Bohr magnetons per cell. The density of states at the Fermi level is 0.7463 states/eV/atom. For the formation energy without anion corrections, the calculation gives -250 meV per atom. Its space group is P-6m2.

No. 7
Entry from Alexandria: a geometry-optimized Fe2SiTc structure (PBE-GGA).

a b c (Å): 2.974 3.969 4.125
angles (deg): 90.00 90.00 90.00
Fractional positions:
Tc 0.000 0.500 0.500
Fe 0.500 0.500 0.000
Si 0.500 0.000 0.500
Fe 0.000 0.000 0.000

Calculated values
The value obtained for the final energy is -33.6 eV for the cell shown. As for the total magnetic moment: 3.58 Bohr magnetons per cell. The density of states at the Fermi level is 0.7451 states/eV/atom. For the formation energy without anion corrections, the calculation gives -219 meV per atom. Its space group is Pmmm.

No. 8
Entry from Alexandria: a geometry-optimized FeSi2Tc structure (PBE-GGA).

a b c (Å): 3.692 2.782 4.971
angles (deg): 89.99 90.00 90.00
Fractional positions:
Si 0.000 0.750 0.496
Fe 0.500 0.750 0.750
Tc 0.500 0.250 0.250
Si 0.000 0.750 0.004

Calculated values
The value obtained for the final energy is -30.6 eV for the cell shown. As for the total magnetic moment: 0.00 Bohr magnetons per cell. The density of states at the Fermi level is 0.5283 states/eV/atom. For the formation energy without anion corrections, the calculation gives -222 meV per atom. Its space group is Pmmm.

No. 9
Entry from Alexandria: a geometry-optimized FeSiTc structure (PBE-GGA).

a b c (Å): 3.885 3.885 3.885
angles (deg): 60.00 60.00 60.00
Fractional positions:
Fe 0.750 0.750 0.750
Tc 0.500 0.500 0.500
Si 0.000 0.000 0.000

Calculated values
The value obtained for the final energy is -24.9 eV for the cell shown. As for the total magnetic moment: 0.00 Bohr magnetons per cell. The density of states at the Fermi level is 0.7539 states/eV/atom. For the formation energy without anion corrections, the calculation gives -219 meV per atom. Its space group is F-43m.

No. 10
Entry from Alexandria: a geometry-optimized FeSi2Tc structure (PBE-GGA).

a b c (Å): 4.594 4.594 4.594
angles (deg): 140.99 122.07 72.06
Fractional positions:
Si 0.488 0.488 0.000
Si 0.012 0.012 0.000
Fe 0.250 0.750 0.500
Tc 0.750 0.250 0.500

Calculated values
The value obtained for the final energy is -30.3 eV for the cell shown. As for the total magnetic moment: 1.66 Bohr magnetons per cell. The density of states at the Fermi level is 0.7927 states/eV/atom. For the formation energy without anion corrections, the calculation gives -167 meV per atom. Its space group is Immm.

No. 11
Entry from Alexandria: a geometry-optimized Fe2SiTc structure (PBE-GGA).

a b c (Å): 5.214 5.214 6.242
angles (deg): 65.31 65.31 90.00
Fractional positions:
Fe 0.620 0.125 0.250
Fe 0.875 0.870 0.750
Fe 0.375 0.380 0.750
Si 0.500 0.500 0.000
Tc 0.000 0.000 0.000
Si 0.250 0.750 0.500
Tc 0.750 0.250 0.500
Fe 0.130 0.625 0.250

Calculated values
The value obtained for the final energy is -57.9 eV for the cell shown. As for the total magnetic moment: 0.00 Bohr magnetons per cell. The density of states at the Fermi level is 0.8249 states/eV/atom. For the formation energy without anion corrections, the calculation gives 945 meV per atom. Its space group is I-42d.

No. 12
Entry from Alexandria: a geometry-optimized Fe2SiTc structure (PBE-GGA).

a b c (Å): 8.071 8.071 8.071
angles (deg): 19.12 19.12 19.12
Fractional positions:
Tc 0.750 0.750 0.750
Fe 0.248 0.248 0.248
Si 0.505 0.505 0.505
Fe 0.997 0.997 0.997

Calculated values
The value obtained for the final energy is -32.7 eV for the cell shown. As for the total magnetic moment: 2.76 Bohr magnetons per cell. The density of states at the Fermi level is 0.8095 states/eV/atom. For the formation energy without anion corrections, the calculation gives 8 meV per atom. Its space group is R3m.

No. 13
Entry from Alexandria: a geometry-optimized Fe2SiTc structure (PBE-GGA).

a b c (Å): 2.702 2.702 6.281
angles (deg): 90.00 90.00 89.99
Fractional positions:
Fe 0.000 0.000 0.030
Tc 0.500 0.500 0.750
Fe 0.000 0.000 0.470
Si 0.500 0.500 0.250

Calculated values
The value obtained for the final energy is -33.7 eV for the cell shown. As for the total magnetic moment: 0.00 Bohr magnetons per cell. The density of states at the Fermi level is 0.7441 states/eV/atom. For the formation energy without anion corrections, the calculation gives -246 meV per atom. Its space group is P4/mmm.